Record 1
Pm2Ga2Pd5Au, optimized geometry, DFT PBE; space-group type = P4/mbm, No. 127; DFT formation energy = -638 kJ/mol of formula units
1.0
-3.3229 -0.5481 -1.6923
-0.7658 -8.8966 4.3854
-4.6322 4.2101 7.7321
Pd Ga Pm Au
10 4 4 2
Cartesian
-5.3817 2.5203 5.5538
-4.4854 -0.5182 4.7779
-2.1034 -1.8581 0.5347
-3.3548 -2.9445 3.3438
-3.9776 1.8310 3.0199
-3.3392 -7.7549 4.8715
-6.6175 -3.3766 9.8906
-5.3662 -2.2902 7.0815
-4.2356 -4.7165 5.6473
-2.0444 -4.7224 1.3466
-0.8457 -2.8795 2.5933
-2.4358 -6.2306 6.8011
-4.5523 -1.8070 9.5243
-2.9622 1.5441 5.3164
-4.0484 0.6010 7.7549
-1.3495 -5.2876 4.3627
-3.7743 -4.4445 8.8508
-1.6237 -0.2421 3.2667
0.0000 0.0000 0.0000
-2.6990 -2.3433 6.0588

***

Record 2
Pm2GaPdAu6, optimized geometry, DFT PBE; space-group type = P-1, No. 2; DFT formation energy = -505 kJ/mol of formula units
1.0
-4.7072 -3.7809 3.4267
4.7365 -0.9661 6.3849
-2.2352 1.5054 4.3101
Ga Pm Pd Au
1 2 1 6
Cartesian
0.0147 -2.3735 4.9058
2.0414 -0.9950 7.6674
-4.2472 -2.2466 6.4544
0.0000 0.0000 0.0000
-0.1097 -3.2596 7.4398
-2.0961 0.0180 6.6820
-0.0587 -1.9605 9.9798
-4.2959 -2.5831 9.4912
2.0901 -0.6585 4.6306
-2.1471 -1.2811 4.1420